Os2Ru | Alexandria | PBE | relaxed; DOS(E_F) = 3.13 states/eV per cell; polymorph energy (0 for the lowest one) = 0.160 eV/atom; SG = P-3m1; energy of formation from the pure elements = 14 kJ/mol of atoms
1.0
2.721 0.000 0.000
-1.360 2.356 0.000
0.000 0.000 6.655
Os Ru
2 1
Cartesian
0.000 1.571 1.107
1.360 0.785 5.548
0.000 0.000 3.328

LuGaTc | Alexandria | PBE | relaxed; DOS(E_F) = 2.22 states/eV per cell; polymorph energy (0 for the lowest one) = 0.076 eV/atom; SG = P-6m2; energy of formation from the pure elements = -23 kJ/mol of atoms
1.0
4.329 0.000 0.000
-2.165 3.749 0.000
0.000 0.000 3.568
Lu Ga Tc
1 1 1
Cartesian
0.000 0.000 0.000
0.000 2.499 1.784
2.165 1.250 1.784

YTlAgAu | Alexandria | PBE | relaxed; DOS(E_F) = 2.11 states/eV per cell; SG = F-43m; energy of formation from the pure elements = -39 kJ/mol of atoms
1.0
0.000 3.534 3.534
3.534 0.000 3.534
3.534 3.534 0.000
Y Tl Ag Au
1 1 1 1
Cartesian
0.000 0.000 0.000
3.534 3.534 3.534
1.767 1.767 1.767
5.302 5.302 5.302

DyTm3Pd12 | Alexandria | PBE | relaxed; DOS(E_F) = 13.15 states/eV per cell; SG = P4/mmm; energy of formation from the pure elements = -87 kJ/mol of atoms
1.0
4.097 0.000 0.000
0.000 4.097 0.000
0.000 0.000 16.450
Dy Tm Pd
1 3 12
Cartesian
0.000 0.000 0.000
0.000 0.000 4.132
0.000 0.000 8.225
0.000 0.000 12.318
0.000 2.048 2.082
0.000 2.048 6.176
0.000 2.048 10.274
0.000 2.048 14.368
2.048 0.000 2.082
2.048 0.000 6.176
2.048 0.000 10.274
2.048 0.000 14.368
2.048 2.048 0.000
2.048 2.048 4.127
2.048 2.048 8.225
2.048 2.048 12.323

Looking at total magnetization for the records above, in order, we have 0.000; 0.000; 0.000; 0.000 μB per formula unit.